A geometry-optimized Pr3Sn5Pt6 structure. Source: the Alexandria database, functional PBE.

Structure (CIF):
```
data_Pr3Sn5Pt6
_symmetry_space_group_name_H-M 'P 1'
_symmetry_Int_Tables_number 1
_cell_length_a 4.469
_cell_length_b 10.129
_cell_length_c 13.620
_cell_angle_alpha 90.00
_cell_angle_beta 90.00
_cell_angle_gamma 90.00
loop_
_symmetry_equiv_pos_as_xyz
'x,y,z'
loop_
_atom_site_label
_atom_site_fract_x
_atom_site_fract_y
_atom_site_fract_z
Pr1 0.000 0.251 0.685
Pr2 0.500 0.749 0.185
Pr3 0.500 0.749 0.815
Pr4 0.000 0.234 0.000
Pr5 0.500 0.766 0.500
Pr6 0.000 0.251 0.315
Sn1 0.000 0.510 0.861
Sn2 0.000 0.898 0.678
Sn3 0.000 0.757 0.000
Sn4 0.500 0.490 0.639
Sn5 0.500 0.243 0.500
Sn6 0.000 0.510 0.139
Sn7 0.500 0.490 0.361
Sn8 0.000 0.898 0.322
Sn9 0.500 0.102 0.822
Sn10 0.500 0.102 0.178
Pt1 0.000 0.967 0.873
Pt2 0.500 0.033 0.627
Pt3 0.500 0.366 0.831
Pt4 0.500 0.569 0.000
Pt5 0.000 0.431 0.500
Pt6 0.000 0.634 0.669
Pt7 0.000 0.634 0.331
Pt8 0.500 0.986 0.000
Pt9 0.000 0.967 0.127
Pt10 0.500 0.366 0.169
Pt11 0.000 0.014 0.500
Pt12 0.500 0.033 0.373
```

Symmetry: Pmmn (59)
Crystal system: orthorhombic
Formation energy from the elements: -0.87 eV/atom
Raw total energy: -5.91 eV/atom
M_tot: 0.000 Bohr magnetons per cell